TaSiI2O | PBE | relaxed

abc: 5.5871 5.5871 3.4368
angles: 90.00 90.00 90.00
With the nearest neighbours (Å) after each atom.
Space group P4/mmm (No. 123)
Asymmetric unit:
1 Ta 0.0000 0.0000 0.0000 (multiplicity 1)  8 I 3.28, 2 Ta 3.44
2 Si 0.5000 0.5000 0.5000 (multiplicity 1)  2 O 1.72
3 I 0.0000 0.5000 0.5000 (multiplicity 2)  2 Si 2.79
4 O 0.5000 0.5000 0.0000 (multiplicity 1)  2 Si 1.72

Summary:
Energy above the most stable polymorph in this dataset: 432 meV per atom
Total magnetic moment: 2.1 μB/cell
Crystal system: tetragonal
Formation energy (no corrections): 0.30 eV per atom



K2TlBiS4 | PBE | relaxed

abc: 9.6666 8.7748 6.5299
angles: 90.00 90.00 90.00
With the nearest neighbours (Å) after each atom.
Space group Pmn2_1 (No. 31)
Asymmetric unit:
1 K 0.2452 0.1654 0.0000 (multiplicity 4)  5 S 3.09-3.35
2 Tl 0.0000 0.3444 0.5376 (multiplicity 2)  4 S 2.56-2.68
3 Bi 0.0000 0.6676 0.0307 (multiplicity 2)  2 S 2.53-2.59
4 S 0.0000 0.3865 0.9435 (multiplicity 2)  1 Bi 2.53, 1 Tl 2.68
5 S 0.0000 0.6288 0.4233 (multiplicity 2)  1 Bi 2.59, 1 Tl 2.60
6 S 0.2288 0.2030 0.4897 (multiplicity 4)  1 Tl 2.56

Summary:
Total magnetic moment: 0.0 μB/cell
Crystal system: orthorhombic
Formation energy (no corrections): -0.63 eV per atom



Ca2Si2P | PBE | relaxed

abc: 4.2194 4.2194 8.1295
angles: 90.00 90.00 120.00
With the nearest neighbours (Å) after each atom.
Space group P-3m1 (No. 164)
Asymmetric unit:
1 Ca 0.3333 0.6667 0.2001 (multiplicity 2)  4 Si 3.00-3.07
2 Si 0.3333 0.6667 0.5692 (multiplicity 2)  3 P 2.50, 3 Si 2.68
3 P 0.0000 0.0000 0.5000 (multiplicity 1)  6 Si 2.50

Summary:
Energy above the most stable polymorph in this dataset: 290 meV per atom
Total magnetic moment: 0.0 μB/cell
Crystal system: trigonal
Formation energy (no corrections): -0.06 eV per atom



HfTiCoTc | PBE | relaxed

abc: 3.1870 4.3054 4.4753
angles: 90.00 90.00 90.00
With the nearest neighbours (Å) after each atom.
Space group Pmmm (No. 47)
Asymmetric unit:
1 Hf 0.0000 0.0000 0.0000 (multiplicity 1)  4 Co 2.68, 4 Tc 2.75
2 Ti 0.0000 0.5000 0.5000 (multiplicity 1)  4 Tc 2.68, 4 Co 2.75
3 Co 0.5000 0.5000 0.0000 (multiplicity 1)  4 Hf 2.68, 4 Ti 2.75
4 Tc 0.5000 0.0000 0.5000 (multiplicity 1)  4 Ti 2.68, 4 Hf 2.75

Summary:
Total magnetic moment: 0.0 μB/cell
Energy of formation: -0.4558 eV/atom
Crystal system: orthorhombic



Question: Which of these has the highest total magnetic moment?
Answer: TaSiI2O



What did the third record say?
Ca2Si2P | PBE | relaxed

abc: 4.2194 4.2194 8.1295
angles: 90.00 90.00 120.00
With the nearest neighbours (Å) after each atom.
Space group P-3m1 (No. 164)
Asymmetric unit:
1 Ca 0.3333 0.6667 0.2001 (multiplicity 2)  4 Si 3.00-3.07
2 Si 0.3333 0.6667 0.5692 (multiplicity 2)  3 P 2.50, 3 Si 2.68
3 P 0.0000 0.0000 0.5000 (multiplicity 1)  6 Si 2.50

Summary:
Energy above the most stable polymorph in this dataset: 290 meV per atom
Total magnetic moment: 0.0 μB/cell
Crystal system: trigonal
Formation energy (no corrections): -0.06 eV per atom